1.
6
Lattice="-1.9572 0.5923 -3.7706 -1.8053 -3.8771 0.3280 -7.0857 3.6591 4.2528" Properties=species:S:1:pos:R:3 comment="LaNdBi2S2 PBE-GGA relaxed" final_energy_ev_per_atom=-5.734 pbc="T T T"
Bi -0.9972 0.3058 -1.8741
Bi -0.9212 -1.9290 0.1751
La -4.8428 2.5008 2.9066
Nd -4.1019 -0.4957 -0.3885
S -2.6137 1.3497 1.5687
S -6.3385 0.6593 0.9539



2.
6
Lattice="-0.6708 -4.1705 -1.5046 3.9063 0.1638 -2.1955 4.4960 -3.5145 7.7371" Properties=species:S:1:pos:R:3 comment="LaNdBi2Te2 PBE-GGA relaxed" final_energy_ev_per_atom=-5.165 pbc="T T T"
Bi -0.3247 -2.0936 -0.7339
Bi 1.9638 0.0735 -1.0794
La 3.2093 -2.5087 5.5228
Nd 2.8957 -3.0023 0.3492
Te 1.6661 -1.3024 2.8672
Te 4.4350 -4.2056 2.9982



3.
16
Lattice="-6.4237 0.5060 -5.4689 2.6230 -1.9194 -3.2585 -3.7362 -10.8514 3.3843" Properties=species:S:1:pos:R:3 comment="La2NiBi PBE-GGA relaxed" final_energy_ev_per_atom=-5.570 pbc="T T T"
Bi -5.2951 -1.7791 -4.8395
Bi -2.7660 -4.0151 -1.4866
Bi -4.7709 -8.2496 -3.8565
Bi -2.2418 -10.4856 -0.5036
La -0.9591 -0.9119 -1.8600
La -2.2457 -3.3129 -4.7317
La 0.5765 -4.6976 -1.6443
La -5.6641 -4.9955 -3.2420
La -1.8728 -7.2692 -2.1011
La -8.1134 -7.5672 -3.6988
La -5.2912 -8.9518 -0.6114
La -6.5777 -11.3528 -3.4831
Ni -3.0298 -0.3970 -3.8302
Ni -1.5469 -5.6716 0.4705
Ni -5.9900 -6.5931 -5.8136
Ni -4.5071 -11.8677 -1.5130



4.
10
Lattice="4.5800 0.0000 0.0000 0.0000 4.5800 0.0000 0.0000 0.0000 10.1834" Properties=species:S:1:pos:R:3 comment="LaNi2BiSb PBE-GGA relaxed" final_energy_ev_per_atom=-5.430 pbc="T T T"
Bi 0.0000 0.0000 0.0000
Bi 2.2900 2.2900 0.0000
La 2.2900 0.0000 2.7683
La 0.0000 2.2900 7.4151
Ni 0.0000 2.2900 1.3687
Ni 0.0000 0.0000 5.0917
Ni 2.2900 2.2900 5.0917
Ni 2.2900 0.0000 8.8147
Sb 0.0000 2.2900 3.8552
Sb 2.2900 0.0000 6.3283



5.
8
Lattice="-1.2609 0.9344 -4.3289 -0.8700 -4.4655 -0.7105 -9.2378 1.3261 2.9769" Properties=species:S:1:pos:R:3 comment="LaSmNi2Bi4 PBE-GGA relaxed" final_energy_ev_per_atom=-5.161 pbc="T T T"
Bi -1.2699 0.1823 0.4092
Bi -5.2969 1.1371 -0.6607
Bi -5.1014 -1.5628 1.1485
Bi -8.9712 -0.6306 0.0280
La -3.1876 -1.4609 -1.8358
Ni -9.8411 1.7894 0.8037
Ni -9.6456 -0.9105 2.6129
Sm -7.1371 1.0246 2.3000



6.
6
Lattice="-0.5072 1.0049 4.0063 2.6296 -3.0342 1.0940 6.3902 5.3463 -0.5320" Properties=species:S:1:pos:R:3 comment="LaPrBi2O2 PBE-GGA relaxed" final_energy_ev_per_atom=-6.278 pbc="T T T"
Bi 6.1175 5.8328 1.4728
Bi 7.6860 3.8133 0.0166
La 3.2584 0.8236 2.3672
O 2.5532 2.1361 -0.2126
O 4.8912 2.1897 2.2313
Pr 4.2382 3.5458 -0.3528



7.
5
Lattice="-0.1252 -3.4696 6.6299 1.0607 2.0302 7.1248 -3.2222 1.2914 -6.6302" Properties=species:S:1:pos:R:3 comment="LaSmBiO2 PBE-GGA relaxed" final_energy_ev_per_atom=-7.376 pbc="T T T"
Bi 0.0037 -0.0058 0.0551
La 0.3146 -0.4841 4.6260
O -1.4422 -1.4452 3.4026
O -0.8493 1.3047 3.6501
Sm 0.6220 -0.9571 9.1454



8.
3
Lattice="0.0000 3.4314 3.4314 3.4314 0.0000 3.4314 3.4314 3.4314 0.0000" Properties=species:S:1:pos:R:3 comment="LaBiOs PBE-GGA relaxed" final_energy_ev_per_atom=-6.725 pbc="T T T"
Bi 1.7157 1.7157 1.7157
La 5.1470 5.1470 5.1470
Os 0.0000 0.0000 0.0000



Size of the total moment readings, ordered: 0.00 0.00 0.08 0.00 0.00 0.00 0.00 0.00 μB/atom